Below is a relaxed SbW3I crystal, with properties calculated at the PBE-GGA level.

Its crystal system is cubic. For the uncorrected formation energy, the calculation gives 13.553 eV/f.u. The polymorph energy (0 for the lowest one) comes out at 0.000 eV/atom.

The structure belongs to space group Pm-3m (No. 221); the cell edges are 4.9223, 4.9223 and 4.9223 Å and the angles 90.00°, 90.00° and 90.00°. The asymmetric unit holds Sb at (0.0000, 0.0000, 0.0000), W at (0.0000, 0.5000, 0.5000) and I at (0.5000, 0.5000, 0.5000).

Below is a relaxed LiPaF2 crystal, with properties calculated at the PBE-GGA level.

Its crystal system is trigonal. For the uncorrected formation energy, the calculation gives -9.385 eV/f.u.

The structure belongs to space group R-3m (No. 166, hexagonal axes); the cell edges are 3.1883, 3.1883 and 20.2828 Å and the angles 90.00°, 90.00° and 120.00°. The asymmetric unit holds Li at (0.0000, 0.0000, 0.0000), Pa at (0.0000, 0.0000, 0.5000) and F at (0.0000, 0.0000, 0.3856).

Below is a relaxed Na2GaH6 crystal, with properties calculated at the PBE-GGA level.

Its crystal system is cubic. The polymorph energy (0 for the lowest one) comes out at 0.021 eV/atom.

The structure belongs to space group Fm-3m (No. 225); the cell edges are 7.0620, 7.0620 and 7.0620 Å and the angles 90.00°, 90.00° and 90.00°. The asymmetric unit holds Na at (0.2500, 0.2500, 0.2500), Ga at (0.0000, 0.0000, 0.0000) and H at (0.0000, 0.0000, 0.2469).

Q: What is the formula in the third record?
A: Na2GaH6